# 1
VASP calculation (GGA-PBE) on TaCo2Rh after structural relaxation.

```
TaCo2Rh
1.0
2.843 -0.028 0.000
0.028 2.843 0.000
0.000 0.000 6.738
Co Rh Ta
2 1 1
Cartesian
1.435 1.407 1.524
0.000 0.000 0.226
0.000 0.000 3.213
1.435 1.407 5.144
```

Computed properties:
Energy of formation: -0.30 eV per formula unit
DFT total energy: -8.43 eV/atom
Calculated volume: 13.6 Å³/atom
Energy relative to the lowest polymorph listed for this composition: 262.0 meV/atom
Crystal system: tetragonal

# 2
VASP calculation (GGA-PBE) on AlRh2Au after structural relaxation.

```
AlRh2Au
1.0
4.420 0.000 0.000
2.210 3.828 0.000
2.210 1.276 3.609
Al Rh Au
1 2 1
Cartesian
4.420 2.552 1.804
0.000 0.000 0.000
2.210 1.276 0.902
6.630 3.828 2.707
```

Computed properties:
Energy of formation: -0.86 eV per formula unit
DFT total energy: -5.65 eV/atom
Calculated volume: 15.3 Å³/atom
Crystal system: cubic

# 3
VASP calculation (GGA-PBE) on BaCa2PrTe4 after structural relaxation.

```
BaCa2PrTe4
1.0
-1.120 -0.715 -4.413
7.700 -1.388 -1.730
1.539 -7.876 0.885
Te Ca Pr Ba
4 2 1 1
Cartesian
1.074 -3.153 -4.575
5.694 -3.442 -3.294
2.425 -6.537 -1.963
7.045 -6.826 -0.683
0.209 -4.295 -1.764
1.539 -7.876 0.885
4.619 -4.632 -0.422
3.290 -1.052 -3.071
```

Computed properties:
E_form (uncorrected): -1.584 eV per atom
DFT total energy: -4.49 eV/atom
Calculated volume: 35.2 Å³/atom
Crystal system: monoclinic

# 4
VASP calculation (GGA-PBE) on CaHoTmSc after structural relaxation.

```
CaHoTmSc
1.0
-3.292 2.447 -3.781
-5.545 -0.243 0.555
-2.872 4.587 1.353
Tm Sc Ho Ca
1 1 1 1
Cartesian
-8.782 5.093 -1.405
-5.854 3.395 -0.936
-2.927 1.698 -0.468
0.000 0.000 0.000
```

Computed properties:
Energy of formation: 0.77 eV per formula unit
DFT total energy: -4.15 eV/atom
Calculated volume: 30.7 Å³/atom
Crystal system: cubic

# 5
VASP calculation (GGA-PBE) on NpCoTc2 after structural relaxation.

```
NpCoTc2
1.0
4.406 0.000 0.000
2.203 3.816 0.000
2.203 1.272 3.729
Tc Np Co
2 1 1
Cartesian
6.609 3.816 2.617
2.203 1.272 1.111
4.406 2.544 1.864
0.000 0.000 0.000
```

Computed properties:
Energy of formation: 1.21 eV per formula unit
DFT total energy: -9.89 eV/atom
Calculated volume: 15.7 Å³/atom
Energy relative to the lowest polymorph listed for this composition: 238.3 meV/atom
Crystal system: trigonal

# 6
VASP calculation (GGA-PBE) on Dy2HfSc after structural relaxation.

```
Dy2HfSc
1.0
-3.186 0.713 0.147
-2.010 -1.003 -2.373
-3.688 -10.046 5.121
Hf Sc Dy
1 1 2
Cartesian
0.000 0.000 0.000
-4.442 -5.168 1.447
-5.718 -2.946 -0.661
-3.166 -7.391 3.556
```

Computed properties:
Energy of formation: 1.34 eV per formula unit
DFT total energy: -6.04 eV/atom
Calculated volume: 27.1 Å³/atom
Energy relative to the lowest polymorph listed for this composition: 219.9 meV/atom
Crystal system: trigonal

# 7
VASP calculation (GGA-PBE) on CaDy2Tl after structural relaxation.

```
CaDy2Tl
1.0
5.558 0.000 0.000
2.779 4.813 0.000
2.779 1.604 4.538
Ca Dy Tl
1 2 1
Cartesian
5.558 3.209 2.268
8.336 4.813 0.001
2.779 1.604 1.135
8.336 4.813 3.403
```

Computed properties:
Energy of formation: 0.07 eV per formula unit
DFT total energy: -3.38 eV/atom
Calculated volume: 30.3 Å³/atom
Energy relative to the lowest polymorph listed for this composition: 155.8 meV/atom
Crystal system: cubic

# 8
VASP calculation (GGA-PBE) on NpGa2Tc after structural relaxation.

```
NpGa2Tc
1.0
4.541 -0.077 0.000
-1.296 4.838 0.000
0.000 0.000 6.589
Ga Np Tc
4 2 2
Cartesian
2.287 1.263 6.248
0.957 3.498 0.341
0.957 3.498 2.954
2.287 1.263 3.636
3.262 4.073 4.942
-0.017 0.688 1.647
3.255 2.824 1.647
-0.010 1.937 4.942
```

Computed properties:
Energy of formation: -0.88 eV per formula unit
DFT total energy: -7.56 eV/atom
Calculated volume: 18.0 Å³/atom
Energy relative to the lowest polymorph listed for this composition: 0.0 meV/atom
Crystal system: monoclinic